Density functional theory data (PBE) for an optimized crystal structure of Ca2Al2Pd5Au.

The structure in CIF format:
```
data_Ca2Al2Pd5Au
_cell_length_a 9.891
_cell_length_b 9.891
_cell_length_c 3.699
_cell_angle_alpha 90.00
_cell_angle_beta 90.00
_cell_angle_gamma 90.00
_space_group_name_H-M_alt 'P 4/m b m'
_space_group_IT_number 127
_space_group_name_Hall '-P 4 2ab'
loop_
_atom_site_label
_atom_site_fract_x
_atom_site_fract_y
_atom_site_fract_z
Ca1 0.178 0.322 0.000
Al1 0.120 0.620 0.000
Pd1 0.000 0.500 0.500
Pd2 0.067 0.790 0.500
Au1 0.000 0.000 0.000
```

Summary:
The calculation puts the total magnetic moment at 0.00 μB/atom. The density of states at the Fermi level comes out at 9.253 states/eV per cell. The value obtained for the energy relative to the elements is -0.687 eV per atom.

Density functional theory data (PBE) for an optimized crystal structure of Y2Hg2Bi.

The structure in CIF format:
```
data_Y2Hg2Bi
_cell_length_a 5.172
_cell_length_b 5.172
_cell_length_c 11.467
_cell_angle_alpha 90.00
_cell_angle_beta 90.00
_cell_angle_gamma 90.00
_space_group_name_H-M_alt 'I 4/m m m'
_space_group_IT_number 139
_space_group_name_Hall '-I 4 2'
loop_
_atom_site_label
_atom_site_fract_x
_atom_site_fract_y
_atom_site_fract_z
Y1 0.000 0.500 0.250
Hg1 0.000 0.000 0.118
Bi1 0.000 0.000 0.500
```

Summary:
The calculation puts the total magnetic moment at 0.14 μB/atom. The density of states at the Fermi level comes out at 8.718 states/eV per cell. The energy above the lowest structure with this stoichiometry is 310 meV per atom. The value obtained for the energy relative to the elements is -0.154 eV per atom.

Question: Look up the total magnetic moment of the first one.
Answer: 0.00 μB/atom

Question: What is the energy relative to the elements in the first record?
Answer: -0.687 eV per atom

Please write out number 2 again, unchanged.
Density functional theory data (PBE) for an optimized crystal structure of Y2Hg2Bi.

The structure in CIF format:
```
data_Y2Hg2Bi
_cell_length_a 5.172
_cell_length_b 5.172
_cell_length_c 11.467
_cell_angle_alpha 90.00
_cell_angle_beta 90.00
_cell_angle_gamma 90.00
_space_group_name_H-M_alt 'I 4/m m m'
_space_group_IT_number 139
_space_group_name_Hall '-I 4 2'
loop_
_atom_site_label
_atom_site_fract_x
_atom_site_fract_y
_atom_site_fract_z
Y1 0.000 0.500 0.250
Hg1 0.000 0.000 0.118
Bi1 0.000 0.000 0.500
```

Summary:
The calculation puts the total magnetic moment at 0.14 μB/atom. The density of states at the Fermi level comes out at 8.718 states/eV per cell. The energy above the lowest structure with this stoichiometry is 310 meV per atom. The value obtained for the energy relative to the elements is -0.154 eV per atom.

Question: Among the records above, which one has the lowest energy relative to the elements?
Answer: Ca2Al2Pd5Au